(1)
Li3LaPd4O12 | GGA-PBE | relaxed

a b c (Å): 6.583 6.583 6.583
angles (deg): 109.47 109.47 109.47
Fractional coordinates of all 20 atoms:
Li  0.000  0.500  0.500
Li  0.500  0.000  0.500
Li  0.500  0.500  0.000
La  0.000  0.000  0.000
Pd  0.000  0.000  0.500
Pd  0.000  0.500  0.000
Pd  0.500  0.000  0.000
Pd  0.500  0.500  0.500
O  0.128  0.300  0.828
O  0.172  0.472  0.300
O  0.172  0.872  0.700
O  0.300  0.172  0.472
O  0.300  0.828  0.128
O  0.472  0.300  0.172
O  0.528  0.700  0.828
O  0.700  0.172  0.872
O  0.700  0.828  0.528
O  0.828  0.128  0.300
O  0.828  0.528  0.700
O  0.872  0.700  0.172

Output
For the calculated density, the calculation gives 5.9 g cm⁻³. The uncorrected formation energy is -23.544 kcal/mol of atoms. Its total energy is -5.5679 eV/atom.



(2)
LiLa2PtO | GGA-PBE | relaxed

a b c (Å): 5.038 5.038 3.971
angles (deg): 90.00 90.00 90.00
Fractional coordinates of all 5 atoms:
Li  0.000  0.000  0.000
La  0.000  0.500  0.500
La  0.500  0.000  0.500
Pt  0.500  0.500  0.000
O  0.000  0.000  0.500

Output
For the calculated density, the calculation gives 8.2 g cm⁻³. The uncorrected formation energy is -36.885 kcal/mol of atoms. Its total energy is -6.1530 eV/atom.



(3)
LiLaPtO | GGA-PBE | relaxed

a b c (Å): 4.041 4.041 9.099
angles (deg): 90.00 90.00 90.00
Fractional coordinates of all 8 atoms:
Li  0.250  0.750  0.000
Li  0.750  0.250  0.000
La  0.250  0.250  0.362
La  0.750  0.750  0.638
Pt  0.250  0.250  0.822
Pt  0.750  0.750  0.178
O  0.250  0.750  0.500
O  0.750  0.250  0.500

Output
For the calculated density, the calculation gives 8.0 g cm⁻³. The uncorrected formation energy is -40.361 kcal/mol of atoms. Its total energy is -6.2103 eV/atom.



(4)
LiLaPuO6 | GGA-PBE | relaxed

a b c (Å): 5.374 5.374 5.197
angles (deg): 90.00 90.00 120.00
Fractional coordinates of all 9 atoms:
Li  0.000  0.000  0.000
La  0.333  0.667  0.500
Pu  0.667  0.333  0.000
O  0.357  0.038  0.215
O  0.357  0.318  0.785
O  0.682  0.038  0.785
O  0.682  0.643  0.215
O  0.962  0.318  0.215
O  0.962  0.643  0.785

Output
For the calculated density, the calculation gives 6.2 g cm⁻³. The uncorrected formation energy is -56.661 kcal/mol of atoms. Its total energy is -8.1151 eV/atom.



(5)
LiLa2PuO6 | GGA-PBE | relaxed

a b c (Å): 5.785 5.891 10.210
angles (deg): 90.00 121.82 90.00
Fractional coordinates of all 20 atoms:
Li  0.000  0.000  0.000
Li  0.000  0.500  0.500
La  0.212  0.050  0.742
La  0.212  0.450  0.242
La  0.788  0.550  0.758
La  0.788  0.950  0.258
Pu  0.500  0.000  0.500
Pu  0.500  0.500  0.000
O  0.159  0.203  0.444
O  0.159  0.297  0.944
O  0.208  0.719  0.415
O  0.208  0.781  0.915
O  0.406  0.062  0.273
O  0.406  0.438  0.773
O  0.594  0.562  0.227
O  0.594  0.938  0.727
O  0.792  0.219  0.085
O  0.792  0.281  0.585
O  0.841  0.703  0.056
O  0.841  0.797  0.556

Output
For the calculated density, the calculation gives 7.0 g cm⁻³. The uncorrected formation energy is -69.314 kcal/mol of atoms. Its total energy is -8.5907 eV/atom.



(6)
RbLiLa2O4 | GGA-PBE | relaxed

a b c (Å): 6.499 6.499 12.115
angles (deg): 90.00 90.00 146.72
Fractional coordinates of all 16 atoms:
Rb  0.098  0.902  0.750
Rb  0.902  0.098  0.250
Li  0.183  0.817  0.250
Li  0.817  0.183  0.750
La  0.367  0.633  0.557
La  0.367  0.633  0.943
La  0.633  0.367  0.057
La  0.633  0.367  0.443
O  0.000  0.000  0.000
O  0.000  0.000  0.500
O  0.248  0.752  0.102
O  0.248  0.752  0.398
O  0.397  0.603  0.750
O  0.603  0.397  0.250
O  0.752  0.248  0.602
O  0.752  0.248  0.898

Output
For the calculated density, the calculation gives 5.1 g cm⁻³. The uncorrected formation energy is -63.001 kcal/mol of atoms. Its total energy is -6.8031 eV/atom.



(7)
LiLaRe2O8 | GGA-PBE | relaxed

a b c (Å): 6.933 6.933 6.933
angles (deg): 134.47 134.47 66.35
Fractional coordinates of all 12 atoms:
Li  0.000  0.000  0.000
La  0.250  0.750  0.500
Re  0.500  0.500  0.000
Re  0.750  0.250  0.500
O  0.264  0.668  0.088
O  0.332  0.420  0.596
O  0.424  0.019  0.097
O  0.580  0.176  0.912
O  0.673  0.576  0.596
O  0.824  0.736  0.404
O  0.922  0.327  0.903
O  0.981  0.078  0.404

Output
For the calculated density, the calculation gives 6.4 g cm⁻³. The uncorrected formation energy is -45.959 kcal/mol of atoms. Its total energy is -7.9432 eV/atom.



(8)
Li3LaRh4O12 | GGA-PBE | relaxed

a b c (Å): 6.536 6.536 6.536
angles (deg): 109.47 109.47 109.47
Fractional coordinates of all 20 atoms:
Li  0.000  0.500  0.500
Li  0.500  0.000  0.500
Li  0.500  0.500  0.000
La  0.000  0.000  0.000
Rh  0.000  0.000  0.500
Rh  0.000  0.500  0.000
Rh  0.500  0.000  0.000
Rh  0.500  0.500  0.500
O  0.124  0.823  0.301
O  0.177  0.301  0.478
O  0.177  0.699  0.876
O  0.301  0.124  0.823
O  0.301  0.478  0.177
O  0.478  0.177  0.301
O  0.522  0.823  0.699
O  0.699  0.522  0.823
O  0.699  0.876  0.177
O  0.823  0.301  0.124
O  0.823  0.699  0.522
O  0.876  0.177  0.699

Output
For the calculated density, the calculation gives 5.9 g cm⁻³. The uncorrected formation energy is -29.716 kcal/mol of atoms. Its total energy is -6.2673 eV/atom.



The highest calculated density belongs to which entry?
LiLa2PtO



What is the calculated density in the eighth record?
5.9 g cm⁻³